[1]
A plane-wave DFT calculation with PBE-GGA was carried out for an optimized crystal structure of TlIn3I4.

Summary:
Its formation energy (no corrections) is -0.5066 eV/atom. For the total DFT energy (no corrections), the calculation gives -2.6044 eV/atom. As for the total magnetization: 0.00 μB/f.u. As for the volume: 348.5 Å³/f.u.

a = 14.077 Å, b = 7.036 Å, c = 7.036 Å
α = 90.00°, β = 90.00°, γ = 90.00°
Element x y z (fractional)
Tl 0.000 0.246 0.000
Tl 0.500 0.754 0.500
In 0.000 0.747 0.501
In 0.250 0.250 0.498
In 0.250 0.750 0.998
In 0.500 0.253 0.001
In 0.750 0.250 0.498
In 0.750 0.750 0.998
I 0.000 0.247 0.500
I 0.000 0.746 0.001
I 0.249 0.749 0.500
I 0.251 0.251 0.000
I 0.500 0.254 0.501
I 0.500 0.753 0.000
I 0.749 0.251 0.000
I 0.751 0.749 0.500

[2]
A plane-wave DFT calculation with PBE-GGA was carried out for an optimized crystal structure of MnIn2SiBi.

Summary:
Its formation energy (no corrections) is 0.4353 eV/atom. For the total DFT energy (no corrections), the calculation gives -4.3548 eV/atom. As for the total magnetization: 4.29 μB/f.u. As for the volume: 132.4 Å³/f.u.

a = 5.292 Å, b = 5.292 Å, c = 4.727 Å
α = 90.00°, β = 90.00°, γ = 90.00°
Element x y z (fractional)
Mn 0.000 0.000 0.000
In 0.000 0.500 0.500
In 0.500 0.000 0.500
Si 0.000 0.000 0.500
Bi 0.500 0.500 0.000